This record from Alexandria describes CaVF2 after structural relaxation. The functional is PBE with a Hubbard U.

a b c (Å): 4.4327 4.4327 4.4327
angles (deg): 60.00 60.00 60.00
Closest atoms and distances in Å follow each position.
Atoms (fractional coordinates):
1 Ca 0.0000 0.0000 0.0000  8 F 2.71
2 F 0.7500 0.7500 0.7500  4 Ca 2.71, 4 V 2.71
3 F 0.2500 0.2500 0.2500  4 Ca 2.71, 4 V 2.71
4 V 0.5000 0.5000 0.5000  8 F 2.71

Properties
The value obtained for the total DFT energy (no corrections) is -18.44 eV per cell. For the calculated density, the calculation gives 3.479 g/cm3. As for the space-group type: Fm-3m.